Computed, not measured: a relaxed NdThCu crystal at the GGA-PBE level of DFT.

Output
Crystal system: cubic
E: -5.0838 eV/atom
Formation energy: 0.21 eV/atom
ΔE to the lowest computed polymorph: 0.0 meV/atom

a b c (Å): 6.950 6.950 6.950
angles (deg): 90.00 90.00 90.00
Space group F-43m (No. 216)
Asymmetric unit:
Nd (0.000, 0.000, 0.000) [4 per cell]
Th (0.000, 0.000, 0.500) [4 per cell]
Cu (0.250, 0.250, 0.250) [4 per cell]

Computed, not measured: a relaxed MoSe2 crystal at the GGA-PBE level of DFT.

Output
Crystal system: orthorhombic
E: -6.6106 eV/atom

a b c (Å): 3.317 5.746 37.328
angles (deg): 90.00 90.00 90.00
Space group C222_1 (No. 20)
Asymmetric unit:
Mo (0.240, 0.001, 0.410) [8 per cell]
Se (0.240, 0.334, 0.365) [8 per cell]
Se (0.240, 0.334, 0.455) [8 per cell]

Computed, not measured: a relaxed LaTmAlTe3 crystal at the GGA-PBE level of DFT.

Output
Crystal system: orthorhombic
E: -4.7133 eV/atom

a b c (Å): 4.223 15.590 10.488
angles (deg): 90.00 90.00 90.00
Space group Cmcm (No. 63)
Asymmetric unit:
La (0.000, 0.221, 0.250) [4 per cell]
Tm (0.000, 0.000, 0.000) [4 per cell]
Al (0.000, 0.477, 0.750) [4 per cell]
Te (0.000, 0.116, 0.750) [4 per cell]
Te (0.000, 0.354, 0.541) [8 per cell]

Computed, not measured: a relaxed SrAsPdO crystal at the GGA-PBE level of DFT.

Output
Crystal system: orthorhombic
E: -4.9776 eV/atom
ΔE to the lowest computed polymorph: 441.9 meV/atom

a b c (Å): 4.224 6.836 6.590
angles (deg): 90.00 90.00 90.00
Space group Pmc2_1 (No. 26)
Asymmetric unit:
Sr (0.000, 0.247, 0.000) [2 per cell]
As (0.000, 0.217, 0.496) [2 per cell]
Pd (0.500, 0.364, 0.597) [2 per cell]
O (0.500, 0.379, 0.912) [2 per cell]

Computed, not measured: a relaxed AcErRe crystal at the GGA-PBE level of DFT.

Output
Crystal system: cubic
E: -6.6379 eV/atom
Formation energy: 0.39 eV/atom
ΔE to the lowest computed polymorph: 0.0 meV/atom

a b c (Å): 7.035 7.035 7.035
angles (deg): 90.00 90.00 90.00
Space group F-43m (No. 216)
Asymmetric unit:
Ac (0.000, 0.000, 0.000) [4 per cell]
Er (0.000, 0.000, 0.500) [4 per cell]
Re (0.250, 0.250, 0.250) [4 per cell]

Computed, not measured: a relaxed Sr2CdTe2F2 crystal at the GGA-PBE level of DFT.

Output
Crystal system: tetragonal
E: -4.3269 eV/atom

a b c (Å): 4.275 4.275 9.713
angles (deg): 90.00 90.00 90.00
Space group P-4m2 (No. 115)
Asymmetric unit:
Sr (0.000, 0.500, 0.138) [2 per cell]
Cd (0.500, 0.500, 0.500) [1 per cell]
Te (0.000, 0.500, 0.691) [2 per cell]
F (0.000, 0.000, 0.000) [1 per cell]
F (0.500, 0.500, 0.000) [1 per cell]

Computed, not measured: a relaxed Gd3Mg3TlHg2 crystal at the GGA-PBE level of DFT.

Output
Crystal system: hexagonal
E: -2.7567 eV/atom

a b c (Å): 7.7312 7.7312 4.4077
angles (deg): 90.00 90.00 120.00
Space group P-62m (No. 189)
Asymmetric unit:
Gd (0.0000, 0.4185, 0.0000) [3 per cell]
Mg (0.0000, 0.7481, 0.5000) [3 per cell]
Tl (0.0000, 0.0000, 0.0000) [1 per cell]
Hg (0.3333, 0.6667, 0.5000) [2 per cell]

Computed, not measured: a relaxed Co2BiW crystal at the GGA-PBE level of DFT.

Output
Crystal system: cubic
E: -6.9855 eV/atom

a b c (Å): 6.254 6.254 6.254
angles (deg): 90.00 90.00 90.00
Space group F-43m (No. 216)
Asymmetric unit:
Co (0.000, 0.000, 0.000) [4 per cell]
Co (0.250, 0.250, 0.250) [4 per cell]
Bi (0.000, 0.000, 0.500) [4 per cell]
W (0.250, 0.250, 0.750) [4 per cell]

Computed, not measured: a relaxed LiPrAsO crystal at the GGA-PBE level of DFT.

Output
Crystal system: orthorhombic
E: -5.7048 eV/atom
ΔE to the lowest computed polymorph: 133.9 meV/atom

a b c (Å): 3.966 6.790 5.733
angles (deg): 90.00 90.00 90.00
Space group Pmc2_1 (No. 26)
Asymmetric unit:
Li (0.000, 0.183, 0.000) [2 per cell]
Pr (0.500, 0.229, 0.551) [2 per cell]
As (0.000, 0.486, 0.277) [2 per cell]
O (0.500, 0.085, 0.916) [2 per cell]

Computed, not measured: a relaxed PmTmCo crystal at the GGA-PBE level of DFT.

Output
Crystal system: cubic
E: -4.6891 eV/atom
Formation energy: 0.75 eV/atom
ΔE to the lowest computed polymorph: 0.0 meV/atom

a b c (Å): 6.641 6.641 6.641
angles (deg): 90.00 90.00 90.00
Space group F-43m (No. 216)
Asymmetric unit:
Pm (0.000, 0.000, 0.000) [4 per cell]
Tm (0.250, 0.250, 0.750) [4 per cell]
Co (0.000, 0.000, 0.500) [4 per cell]

Computed, not measured: a relaxed Li3PtO4 crystal at the GGA-PBE level of DFT.

Output
Crystal system: monoclinic
E: -5.2972 eV/atom
ΔE to the lowest computed polymorph: 0.0 meV/atom

a b c (Å): 5.076 5.908 5.168
angles (deg): 90.00 110.19 90.00
Space group P2/c (No. 13)
Asymmetric unit:
Li (0.000, 0.098, 0.250) [2 per cell]
Li (0.000, 0.361, 0.750) [2 per cell]
Li (0.500, 0.115, 0.750) [2 per cell]
Pt (0.500, 0.365, 0.250) [2 per cell]
O (0.255, 0.133, 0.013) [4 per cell]
O (0.268, 0.386, 0.499) [4 per cell]

Computed, not measured: a relaxed DyAuNO crystal at the GGA-PBE level of DFT.

Output
Crystal system: orthorhombic
E: -6.1030 eV/atom
ΔE to the lowest computed polymorph: 389.4 meV/atom

a b c (Å): 7.024 6.963 4.907
angles (deg): 90.00 90.00 90.00
Space group Pca2_1 (No. 29)
Asymmetric unit:
Dy (0.080, 0.164, 0.000) [4 per cell]
Au (0.142, 0.702, 0.997) [4 per cell]
N (0.095, 0.121, 0.503) [4 per cell]
O (0.094, 0.570, 0.458) [4 per cell]

Q: The highest E belongs to which entry?
A: Gd3Mg3TlHg2

Q: Which formula does entry 8 have?
A: Co2BiW

Q: What is the formula in the twelfth record?
A: DyAuNO